The following is a PBEsol calculation of crystalline Li2CaFe at its relaxed geometry, from the Alexandria database.

The space group is P2/m, No. 10. The formation energy comes out at 0.482 eV per atom. Its mass density is 2.394 g cm⁻³. For the size of the total moment, the calculation gives 2.19 Bohr magnetons per cell.

a b c (Å): 2.9598 4.9318 5.2460
angles (deg): 90.00 95.98 90.00
With the nearest neighbours (Å) after each atom.
Fractional coordinates of all 4 atoms:
Li: 0.2332 0.0000 0.2944  2 Li 2.54-2.68, 2 Fe 2.81
Li: 0.7668 0.0000 0.7056  2 Li 2.54-2.68, 2 Fe 2.81
Ca: 0.5000 0.5000 0.0000  4 Fe 2.87-3.14, 2 Ca 2.96, 4 Li 3.06
Fe: 0.0000 0.5000 0.5000  4 Li 2.81, 2 Ca 2.87, 2 Fe 2.96



The following is a PBEsol calculation of crystalline MnAs at its relaxed geometry, from the Alexandria database.

The space group is Imma, No. 74. The formation energy comes out at 0.130 eV per atom. Its mass density is 7.588 g cm⁻³. For the size of the total moment, the calculation gives 5.52 Bohr magnetons per cell.

a b c (Å): 4.9942 4.9942 4.9942
angles (deg): 141.80 131.68 63.20
With the nearest neighbours (Å) after each atom.
Fractional coordinates of all 4 atoms:
Mn: 0.3620 0.1120 0.2500  6 As 2.52-2.62, 2 Mn 2.79
Mn: 0.6380 0.8880 0.7500  6 As 2.52-2.62, 2 Mn 2.79
As: 0.1369 0.3869 0.7500  6 Mn 2.52-2.62, 2 As 2.81
As: 0.8631 0.6131 0.2500  6 Mn 2.52-2.62, 2 As 2.81



The following is a PBEsol calculation of crystalline KRbSr2Se at its relaxed geometry, from the Alexandria database.

The uncorrected formation energy comes out at -0.5900 eV/atom. The space group is P4/mmm, No. 123. Its mass density is 2.446 g cm⁻³. For the size of the total moment, the calculation gives 0.00 Bohr magnetons per cell.

a b c (Å): 6.0642 6.0642 6.9922
angles (deg): 90.00 90.00 90.00
With the nearest neighbours (Å) after each atom.
Fractional coordinates of all 5 atoms:
K: 0.0000 0.0000 0.0000  2 Se 3.50
Rb: 0.5000 0.5000 0.0000  4 K 4.29, 8 Sr 4.63
Sr: 0.0000 0.5000 0.5000  2 Se 3.03
Sr: 0.5000 0.0000 0.5000  2 Se 3.03
Se: 0.0000 0.0000 0.5000  4 Sr 3.03



The following is a PBEsol calculation of crystalline GaBSeN2 at its relaxed geometry, from the Alexandria database.

The uncorrected formation energy comes out at 1.8166 eV/atom. The space group is P4/mmm, No. 123. Its mass density is 4.055 g cm⁻³. For the size of the total moment, the calculation gives 1.50 Bohr magnetons per cell.

a b c (Å): 3.6133 3.6133 5.8814
angles (deg): 90.00 90.00 90.00
With the nearest neighbours (Å) after each atom.
Fractional coordinates of all 5 atoms:
Ga: 0.0000 0.0000 0.0000  4 N 1.81
B: 0.5000 0.5000 0.5000  4 Se 2.56
Se: 0.0000 0.0000 0.5000  4 B 2.56
N: 0.0000 0.5000 0.0000  2 Ga 1.81
N: 0.5000 0.0000 0.0000  2 Ga 1.81



The following is a PBEsol calculation of crystalline Al2CoCu at its relaxed geometry, from the Alexandria database.

The space group is Cm, No. 8. The formation energy comes out at -0.356 eV per atom. Its mass density is 5.999 g cm⁻³. For the size of the total moment, the calculation gives 0.39 Bohr magnetons per cell.

a b c (Å): 4.6185 4.6185 4.0922
angles (deg): 107.43 107.43 36.13
With the nearest neighbours (Å) after each atom.
Fractional coordinates of all 4 atoms:
Al: 0.0000 0.0000 0.0000  4 Co 2.48-2.52, 3 Cu 2.51, 2 Al 2.75
Al: 0.2308 0.2308 0.6462  3 Co 2.43-2.57, 4 Cu 2.48-2.52
Co: 0.4951 0.4951 0.5034  7 Al 2.43-2.57, 2 Cu 2.61
Cu: 0.7477 0.7477 0.1638  7 Al 2.48-2.52, 2 Co 2.61



The following is a PBEsol calculation of crystalline Cr2TcRu at its relaxed geometry, from the Alexandria database.

The space group is Pm, No. 6. The formation energy comes out at 0.139 eV per atom. Its mass density is 10.039 g cm⁻³. For the size of the total moment, the calculation gives 0.00 Bohr magnetons per cell.

a b c (Å): 2.6220 3.9540 4.9950
angles (deg): 90.00 104.52 90.00
With the nearest neighbours (Å) after each atom.
Fractional coordinates of all 4 atoms:
Cr: 0.0000 0.0000 0.0000  2 Cr 2.33, 2 Tc 2.51-2.57, 2 Ru 2.51
Cr: 0.1032 0.5000 0.7711  2 Cr 2.33, 2 Ru 2.49-2.59, 2 Tc 2.53
Tc: 0.3866 0.0000 0.5254  7 Cr 2.51-2.80, 2 Tc 2.62, 4 Ru 2.71-2.78
Ru: 0.7225 0.5000 0.2405  7 Cr 2.49-2.79, 2 Ru 2.62, 4 Tc 2.71-2.78



The following is a PBEsol calculation of crystalline BaCN2F at its relaxed geometry, from the Alexandria database.

The uncorrected formation energy comes out at 2.1695 eV/atom. The space group is P4/mmm, No. 123. Its mass density is 2.079 g cm⁻³. For the size of the total moment, the calculation gives 7.22 Bohr magnetons per cell.

a b c (Å): 5.6509 5.6509 4.9116
angles (deg): 90.00 90.00 90.00
With the nearest neighbours (Å) after each atom.
Fractional coordinates of all 5 atoms:
Ba: 0.0000 0.0000 0.0000  2 F 2.46
C: 0.5000 0.5000 0.5000  8 N 3.74, 4 F 4.00
N: 0.0000 0.5000 0.0000  2 Ba 2.83
N: 0.5000 0.0000 0.0000  2 Ba 2.83
F: 0.0000 0.0000 0.5000  2 Ba 2.46



The following is a PBEsol calculation of crystalline TaRh2W at its relaxed geometry, from the Alexandria database.

The space group is P4/mmm, No. 123. The formation energy comes out at -0.080 eV per atom. Its mass density is 15.576 g cm⁻³. For the size of the total moment, the calculation gives 0.00 Bohr magnetons per cell.

a b c (Å): 3.3303 3.3303 5.4848
angles (deg): 90.00 90.00 90.00
With the nearest neighbours (Å) after each atom.
Fractional coordinates of all 4 atoms:
Ta: 0.0000 0.0000 0.0000  8 Rh 2.74, 2 W 2.74
Rh: 0.5000 0.5000 0.2544  2 Rh 2.69-2.79, 4 W 2.71, 4 Ta 2.74
Rh: 0.5000 0.5000 0.7456  2 Rh 2.69-2.79, 4 W 2.71, 4 Ta 2.74
W: 0.0000 0.0000 0.5000  8 Rh 2.71, 2 Ta 2.74



The following is a PBEsol calculation of crystalline AlReMo2 at its relaxed geometry, from the Alexandria database.

The space group is Cmmm, No. 65. The formation energy comes out at 0.077 eV per atom. Its mass density is 11.276 g cm⁻³. For the size of the total moment, the calculation gives 0.00 Bohr magnetons per cell.

a b c (Å): 4.9487 4.9487 2.7171
angles (deg): 90.00 90.00 116.31
With the nearest neighbours (Å) after each atom.
Fractional coordinates of all 4 atoms:
Al: 0.0000 0.0000 0.0000  2 Re 2.61, 2 Al 2.72, 8 Mo 2.82
Re: 0.5000 0.5000 0.0000  2 Al 2.61, 2 Re 2.72, 8 Mo 2.82
Mo: 0.0000 0.5000 0.5000  4 Mo 2.61-2.72, 4 Re 2.82, 4 Al 2.82
Mo: 0.5000 0.0000 0.5000  4 Mo 2.61-2.72, 4 Re 2.82, 4 Al 2.82



The following is a PBEsol calculation of crystalline BaSr2WC at its relaxed geometry, from the Alexandria database.

The space group is P4/mmm, No. 123. The formation energy comes out at 0.711 eV per atom. Its mass density is 6.298 g cm⁻³. For the size of the total moment, the calculation gives 1.31 Bohr magnetons per cell.

a b c (Å): 5.6511 5.6511 4.1973
angles (deg): 90.00 90.00 90.00
With the nearest neighbours (Å) after each atom.
Fractional coordinates of all 5 atoms:
Ba: 0.0000 0.0000 0.0000  8 Sr 3.52
Sr: 0.0000 0.5000 0.5000  2 C 2.83
Sr: 0.5000 0.0000 0.5000  2 C 2.83
W: 0.5000 0.5000 0.0000  2 C 2.10
C: 0.5000 0.5000 0.5000  2 W 2.10



The following is a PBEsol calculation of crystalline AsIr2Pb at its relaxed geometry, from the Alexandria database.

The space group is P2/m, No. 10. The formation energy comes out at 0.453 eV per atom. Its mass density is 16.278 g cm⁻³. For the size of the total moment, the calculation gives 0.00 Bohr magnetons per cell.

a b c (Å): 4.5523 3.0733 5.2475
angles (deg): 90.00 112.15 90.00
With the nearest neighbours (Å) after each atom.
Fractional coordinates of all 4 atoms:
As: 0.0000 0.0000 0.0000  6 Ir 2.75, 4 Pb 3.04, 2 As 3.07
Ir: 0.5000 0.0000 0.5000  4 Pb 2.75, 2 As 2.75, 6 Ir 3.04-3.07
Ir: 0.5000 0.5000 0.0000  4 As 2.75, 2 Pb 2.75, 6 Ir 3.04-3.07
Pb: 0.0000 0.5000 0.5000  6 Ir 2.75, 4 As 3.04, 2 Pb 3.07



The following is a PBEsol calculation of crystalline Mg3Si4O12 at its relaxed geometry, from the Alexandria database.

The uncorrected formation energy comes out at -2.5336 eV/atom. The space group is C2/c, No. 15. Its mass density is 2.647 g cm⁻³. For the size of the total moment, the calculation gives 4.00 Bohr magnetons per cell.

a b c (Å): 5.3213 5.3213 19.2469
angles (deg): 92.08 92.08 119.45
With the nearest neighbours (Å) after each atom.
Fractional coordinates of all 38 atoms:
Mg: 0.0000 0.5000 0.5000  6 O 2.07-2.09
Mg: 0.1468 0.3228 0.0001  6 O 2.00-2.13
Mg: 0.3228 0.1468 0.5001  6 O 2.00-2.13
Mg: 0.5000 0.0000 0.0000  6 O 2.07-2.09
Mg: 0.6772 0.8532 0.4999  6 O 2.00-2.13
Mg: 0.8532 0.6772 0.9999  6 O 2.00-2.13
Si: 0.0304 0.2028 0.6437  4 O 1.63-1.64
Si: 0.1316 0.6352 0.8563  4 O 1.63-1.64
Si: 0.2028 0.0304 0.1437  4 O 1.63-1.64
Si: 0.3648 0.8684 0.6437  4 O 1.63-1.64
Si: 0.6352 0.1316 0.3563  4 O 1.63-1.64
Si: 0.7972 0.9696 0.8563  4 O 1.63-1.64
Si: 0.8684 0.3648 0.1437  4 O 1.63-1.64
Si: 0.9696 0.7972 0.3563  4 O 1.63-1.64
O: 0.0066 0.1806 0.5581  1 Si 1.64
O: 0.0327 0.7048 0.1716  2 Si 1.63
O: 0.0525 0.2144 0.1719  2 Si 1.63
O: 0.1529 0.6590 0.9419  1 Si 1.64
O: 0.1806 0.0066 0.0581  1 Si 1.64
O: 0.1946 0.5429 0.6714  2 Si 1.63
O: 0.2144 0.0525 0.6719  2 Si 1.63
O: 0.2952 0.9673 0.3284  2 Si 1.63
O: 0.3410 0.8471 0.5581  1 Si 1.64
O: 0.3438 0.4906 0.4559  3 Mg 2.00-2.07
O: 0.4571 0.8054 0.8286  2 Si 1.63
O: 0.4906 0.3438 0.9559  3 Mg 2.00-2.07
O: 0.5094 0.6562 0.0441  3 Mg 2.00-2.07
O: 0.5429 0.1946 0.1714  2 Si 1.63
O: 0.6562 0.5094 0.5441  3 Mg 2.00-2.07
O: 0.6590 0.1529 0.4419  1 Si 1.64
O: 0.7048 0.0327 0.6716  2 Si 1.63
O: 0.7856 0.9475 0.3281  2 Si 1.63
O: 0.8054 0.4571 0.3286  2 Si 1.63
O: 0.8194 0.9934 0.9419  1 Si 1.64
O: 0.8471 0.3410 0.0581  1 Si 1.64
O: 0.9475 0.7856 0.8281  2 Si 1.63
O: 0.9673 0.2952 0.8284  2 Si 1.63
O: 0.9934 0.8194 0.4419  1 Si 1.64



The following is a PBEsol calculation of crystalline MnCoNi2 at its relaxed geometry, from the Alexandria database.

The space group is F-43m, No. 216. The formation energy comes out at 0.123 eV per atom. Its mass density is 8.831 g cm⁻³. For the size of the total moment, the calculation gives 5.75 Bohr magnetons per cell.

a b c (Å): 3.9471 3.9471 3.9471
angles (deg): 60.00 60.00 60.00
With the nearest neighbours (Å) after each atom.
Fractional coordinates of all 4 atoms:
Mn: 0.0000 0.0000 0.0000  4 Co 2.42, 4 Ni 2.42
Co: 0.2500 0.2500 0.2500  4 Mn 2.42, 4 Ni 2.42
Ni: 0.5000 0.5000 0.5000  4 Co 2.42, 4 Ni 2.42
Ni: 0.7500 0.7500 0.7500  4 Mn 2.42, 4 Ni 2.42



The following is a PBEsol calculation of crystalline Ba2AgP at its relaxed geometry, from the Alexandria database.

The space group is R-3m, No. 166. The formation energy comes out at -0.566 eV per atom. Its mass density is 4.648 g cm⁻³. For the size of the total moment, the calculation gives 0.00 Bohr magnetons per cell.

a b c (Å): 8.3699 8.3699 8.3699
angles (deg): 32.17 32.17 32.17
With the nearest neighbours (Å) after each atom.
Fractional coordinates of all 4 atoms:
Ba: 0.2374 0.2374 0.2374  3 P 3.16, 3 Ag 3.52
Ba: 0.7626 0.7626 0.7626  3 P 3.16, 3 Ag 3.52
Ag: 0.0000 0.0000 0.0000  6 Ba 3.52
P: 0.5000 0.5000 0.5000  6 Ba 3.16



The following is a PBEsol calculation of crystalline AuICl2 at its relaxed geometry, from the Alexandria database.

The uncorrected formation energy comes out at 0.5956 eV/atom. The space group is Fm-3m, No. 225. Its mass density is 7.307 g cm⁻³. For the size of the total moment, the calculation gives 1.52 Bohr magnetons per cell.

a b c (Å): 5.0248 5.0248 5.0248
angles (deg): 60.00 60.00 60.00
With the nearest neighbours (Å) after each atom.
Fractional coordinates of all 4 atoms:
Au: 0.0000 0.0000 0.0000  8 Cl 3.08
I: 0.5000 0.5000 0.5000  8 Cl 3.08
Cl: 0.2500 0.2500 0.2500  4 I 3.08, 4 Au 3.08
Cl: 0.7500 0.7500 0.7500  4 I 3.08, 4 Au 3.08



The following is a PBEsol calculation of crystalline Li2AgHg at its relaxed geometry, from the Alexandria database.

The space group is P4/mmm, No. 123. The formation energy comes out at -0.300 eV per atom. Its mass density is 8.328 g cm⁻³. For the size of the total moment, the calculation gives 0.00 Bohr magnetons per cell.

a b c (Å): 3.2870 3.2870 5.9485
angles (deg): 90.00 90.00 90.00
With the nearest neighbours (Å) after each atom.
Fractional coordinates of all 4 atoms:
Li: 0.0000 0.0000 0.2441  4 Ag 2.74, 4 Hg 2.78, 2 Li 2.90-3.04
Li: 0.0000 0.0000 0.7559  4 Ag 2.74, 4 Hg 2.78, 2 Li 2.90-3.04
Ag: 0.5000 0.5000 0.0000  8 Li 2.74, 2 Hg 2.97
Hg: 0.5000 0.5000 0.5000  8 Li 2.78, 2 Ag 2.97



The following is a PBEsol calculation of crystalline La3Mg at its relaxed geometry, from the Alexandria database.

The space group is C2/m, No. 12. The formation energy comes out at -0.026 eV per atom. Its mass density is 5.845 g cm⁻³. For the size of the total moment, the calculation gives 0.00 Bohr magnetons per cell.

a b c (Å): 6.1697 6.1697 6.0405
angles (deg): 101.22 101.22 33.81
With the nearest neighbours (Å) after each atom.
Fractional coordinates of all 4 atoms:
La: 0.0000 0.0000 0.0000  4 Mg 3.51, 8 La 3.55-3.60
La: 0.2432 0.2432 0.7367  9 La 3.41-3.63, 3 Mg 3.44-3.61
La: 0.7568 0.7568 0.2633  9 La 3.41-3.63, 3 Mg 3.44-3.61
Mg: 0.5000 0.5000 0.5000  10 La 3.44-3.61, 2 Mg 3.59



The following is a PBEsol calculation of crystalline CuPO4 at its relaxed geometry, from the Alexandria database.

The uncorrected formation energy comes out at -1.3725 eV/atom. The space group is I-4, No. 82. Its mass density is 3.669 g cm⁻³. For the size of the total moment, the calculation gives 0.00 Bohr magnetons per cell.

a b c (Å): 4.5573 4.5573 4.5573
angles (deg): 105.55 105.55 117.63
With the nearest neighbours (Å) after each atom.
Fractional coordinates of all 6 atoms:
Cu: 0.0000 0.0000 0.0000  4 O 1.84
P: 0.2500 0.7500 0.5000  4 O 1.55
O: 0.1896 0.3690 0.4294  1 P 1.55
O: 0.2398 0.8104 0.1794  1 P 1.55
O: 0.6310 0.0604 0.8206  1 P 1.55
O: 0.9396 0.7602 0.5706  1 P 1.55



The following is a PBEsol calculation of crystalline TaCr3C at its relaxed geometry, from the Alexandria database.

The space group is Pm-3m, No. 221. The formation energy comes out at -0.006 eV per atom. Its mass density is 10.067 g cm⁻³. For the size of the total moment, the calculation gives 0.00 Bohr magnetons per cell.

a b c (Å): 3.8611 3.8611 3.8611
angles (deg): 90.00 90.00 90.00
With the nearest neighbours (Å) after each atom.
Fractional coordinates of all 5 atoms:
Ta: 0.0000 0.0000 0.0000  12 Cr 2.73
Cr: 0.0000 0.5000 0.5000  2 C 1.93
Cr: 0.5000 0.0000 0.5000  2 C 1.93
Cr: 0.5000 0.5000 0.0000  2 C 1.93
C: 0.5000 0.5000 0.5000  6 Cr 1.93



The following is a PBEsol calculation of crystalline Zn2CoOs at its relaxed geometry, from the Alexandria database.

The space group is Cmm2, No. 35. The formation energy comes out at 0.220 eV per atom. Its mass density is 12.027 g cm⁻³. For the size of the total moment, the calculation gives 1.55 Bohr magnetons per cell.

a b c (Å): 2.6186 2.6186 8.5820
angles (deg): 90.00 90.00 116.93
With the nearest neighbours (Å) after each atom.
Fractional coordinates of all 4 atoms:
Zn: 0.0000 0.0000 0.0000  8 Zn 2.62-2.74, 2 Os 2.65
Zn: 0.5000 0.5000 0.2610  2 Co 2.46, 8 Zn 2.62-2.74
Co: 0.0000 0.0000 0.4985  2 Os 2.45, 2 Zn 2.46, 6 Co 2.62-2.74
Os: 0.5000 0.5000 0.7359  2 Co 2.45, 6 Os 2.62-2.74, 2 Zn 2.65